# 1
{
  "formula": "Pm6AlSi2Br3",
  "functional": "PBE-GGA",
  "state": "relaxed",
  "e_form_raw_ev_per_atom": -0.941,
  "mass_density_g_cm3": 5.8,
  "dft_energy_ev_per_atom": -4.951,
  "spacegroup": "C2/m (12)",
  "lattice_angstrom": [[9.5523, -2.0962, 0.0000], [9.5523, 2.0962, 0.0000], [-2.2767, 0.0000, 8.5848]],
  "species": ["Pm", "Pm", "Pm", "Pm", "Pm", "Pm", "Al", "Si", "Si", "Br", "Br", "Br"],
  "frac_coords": [[0.0097, 0.0097, 0.2449], [0.3233, 0.3233, 0.4360], [0.3383, 0.3383, 0.8906], [0.6617, 0.6617, 0.1094], [0.6767, 0.6767, 0.5640], [0.9903, 0.9903, 0.7551], [0.5000, 0.5000, 0.0000], [0.1670, 0.1670, 0.3357], [0.8330, 0.8330, 0.6643], [0.1679, 0.1679, 0.8332], [0.5000, 0.5000, 0.5000], [0.8321, 0.8321, 0.1668]]
}



# 2
{
  "formula": "Sc8OsPt2",
  "functional": "PBE-GGA",
  "state": "relaxed",
  "mass_density_g_cm3": 6.9,
  "dft_energy_ev_per_atom": -7.392,
  "spacegroup": "C2/m (12)",
  "lattice_angstrom": [[7.9416, -2.3531, 0.0000], [7.9416, 2.3531, 0.0000], [-2.0968, 0.0000, 6.0691]],
  "species": ["Sc", "Sc", "Sc", "Sc", "Sc", "Sc", "Sc", "Sc", "Os", "Pt", "Pt"],
  "frac_coords": [[0.0278, 0.0278, 0.2923], [0.1961, 0.1961, 0.7910], [0.3357, 0.3357, 0.5433], [0.4026, 0.4026, 0.0566], [0.5974, 0.5974, 0.9434], [0.6643, 0.6643, 0.4567], [0.8039, 0.8039, 0.2090], [0.9722, 0.9722, 0.7077], [0.5000, 0.5000, 0.5000], [0.1832, 0.1832, 0.1924], [0.8168, 0.8168, 0.8076]]
}